a.
8
Lattice="-1.9147 2.6707 -2.5537 -3.4493 -1.0822 2.0619 -3.0451 8.1709 5.6312" Properties=species:S:1:pos:R:3 comment="MgAlGa6, relaxed, DFT PBE" total_magnetization_mub_per_cell=0.00 dos_ef_per_ev_fu=2.57 pbc="T T T"
Mg 0.0000 0.0000 0.0000
Al -4.2046 4.8797 2.5696
Ga -3.7499 2.2314 2.8033
Ga -2.9107 4.2835 0.2794
Ga -5.4985 5.4758 4.8599
Ga -4.6593 7.5279 2.3360
Ga -5.9361 8.0539 4.5749
Ga -2.4731 1.7054 0.5644

=====

b.
8
Lattice="-2.6511 0.7301 3.1248 -1.5697 -3.8302 -0.4369 5.6372 -2.9339 5.4682" Properties=species:S:1:pos:R:3 comment="MgAlGa6, relaxed, DFT PBE" total_magnetization_mub_per_cell=0.00 dos_ef_per_ev_fu=3.99 pbc="T T T"
Mg 0.0000 0.0000 0.0000
Al 2.8186 -1.4670 2.7341
Ga -2.1104 -1.5501 1.3440
Ga 0.7082 -3.0170 4.0780
Ga 0.1222 -0.3884 2.9667
Ga 2.8639 -1.8154 5.6262
Ga 0.6629 -2.6686 1.1859
Ga 3.4046 -4.0956 3.8454

=====

From most stable to least stable, the computed energies give b, a.

=====

a.
15
Lattice="-1.5949 6.0788 -4.7369 -0.3206 -1.0612 -7.7913 -6.0099 0.5542 -3.8027" Properties=species:S:1:pos:R:3 comment="MgAl6Ga8, relaxed, DFT PBE" total_magnetization_mub_per_cell=0.00 dos_ef_per_ev_fu=5.88 pbc="T T T"
Mg 0.0000 0.0000 0.0000
Al -5.6499 2.8568 -5.6040
Al -2.6135 5.4402 -7.4259
Al -1.7030 1.3052 -6.7116
Al -6.2225 4.2666 -9.6192
Al -5.3119 0.1316 -8.9049
Al -2.2756 2.7150 -10.7269
Ga -3.0309 3.4665 -5.5252
Ga -5.2755 5.1491 -7.1683
Ga -4.2655 0.5728 -6.3452
Ga -7.1076 3.9366 -12.1672
Ga -0.8178 1.6352 -4.1636
Ga -3.6600 4.9989 -9.9857
Ga -2.6499 0.4226 -9.1625
Ga -4.8946 2.1053 -10.8057

=====

b.
15
Lattice="6.3524 0.0000 0.0000 0.0000 6.2482 -3.6074 0.0000 0.0000 7.2148" Properties=species:S:1:pos:R:3 comment="MgAl6Ga8, relaxed, DFT PBE" total_magnetization_mub_per_cell=0.00 dos_ef_per_ev_fu=6.67 pbc="T T T"
Mg 3.1762 0.0000 0.0000
Al 4.3806 4.1088 -1.7252
Al 4.3806 5.6879 0.8135
Al 4.3806 2.6998 0.9117
Al 1.9718 2.1394 5.3326
Al 1.9718 0.5603 2.7939
Al 1.9718 3.5484 2.6957
Ga 5.4458 0.2914 2.0770
Ga 5.4458 4.3038 2.8212
Ga 5.4458 1.6530 5.9240
Ga 0.9067 5.9568 1.5304
Ga 0.9067 1.9444 0.7862
Ga 0.9067 4.5952 -2.3166
Ga 4.0943 2.0827 3.6074
Ga 2.2581 4.1655 0.0000

=====

From most stable to least stable, the computed energies give b, a.

=====

a.
18
Lattice="7.9969 0.1138 -0.5279 -2.9246 7.4439 0.5279 -3.1517 -3.3658 6.5560" Properties=species:S:1:pos:R:3 comment="Mg6Al2Ga, relaxed, DFT PBE" total_magnetization_mub_per_cell=0.00 dos_ef_per_ev_fu=3.36 pbc="T T T"
Mg -0.4408 2.6756 5.4033
Mg 2.3616 1.5163 1.1527
Mg -2.6432 -0.6058 5.4033
Mg 4.5639 4.7977 1.1527
Mg 2.5436 3.7739 3.6029
Mg -0.6229 0.4181 2.9531
Mg -3.6052 2.4197 6.4301
Mg 5.5260 1.7722 0.1259
Mg 2.4723 0.7103 4.2345
Mg -0.5516 3.4816 2.3215
Mg -2.6452 4.8868 4.7624
Mg 4.5659 -0.6949 1.7936
Al 0.1714 -0.1150 5.6387
Al 1.7494 4.3069 0.9173
Al 3.2114 -2.1553 3.9953
Al 1.6339 -1.0966 2.0328
Ga -3.0381 2.0390 3.5420
Ga 0.0000 0.0000 0.0000

=====

b.
18
Lattice="-5.3740 1.4152 -1.7670 -0.8388 -7.8602 -1.8876 -2.0820 -0.4301 7.8441" Properties=species:S:1:pos:R:3 comment="Mg6Al2Ga, relaxed, DFT PBE" total_magnetization_mub_per_cell=0.00 dos_ef_per_ev_fu=3.96 pbc="T T T"
Mg -4.5438 -2.1612 4.2857
Mg -6.9518 -0.9355 3.0423
Mg -3.7510 -4.7139 -0.0963
Mg -1.3430 -5.9396 1.1472
Mg -5.7380 -6.4844 1.6305
Mg -4.8305 -2.1535 -1.5602
Mg -2.5568 -0.3907 2.5590
Mg -3.4643 -4.7216 5.7497
Mg -1.8972 -1.5516 -0.4555
Mg -3.4872 -7.3657 3.7804
Mg -6.3976 -5.3235 4.6450
Mg -4.8076 0.4906 0.4090
Al -1.7388 -3.1604 1.9871
Al -3.8365 -4.6168 2.8311
Al -6.5560 -3.7147 2.2023
Al -4.4583 -2.2583 1.3583
Ga -2.2966 -6.8233 -1.4346
Ga -5.9982 -0.0518 5.6241

=====

From most stable to least stable, the computed energies give b, a.

=====

a.
4
Lattice="4.3027 0.0000 0.0000 2.1514 3.7263 0.0000 2.1514 1.2421 4.5106" Properties=species:S:1:pos:R:3 comment="MgAlGaPd, relaxed, DFT PBE" total_magnetization_mub_per_cell=0.00 dos_ef_per_ev_fu=1.45 pbc="T T T"
Mg 6.4541 3.7263 2.3990
Al 4.3027 2.4842 0.5375
Ga 2.1514 1.2421 1.2116
Pd 2.1514 1.2421 4.0719

=====

b.
4
Lattice="-3.5655 -2.7212 -0.6561 0.1672 -4.3219 1.3570 -2.4906 -1.3641 3.5333" Properties=species:S:1:pos:R:3 comment="MgAlGaPd, relaxed, DFT PBE" total_magnetization_mub_per_cell=0.00 dos_ef_per_ev_fu=2.26 pbc="T T T"
Mg -2.9445 -4.2036 2.1172
Ga -4.4167 -6.3054 3.1757
Pd -1.4722 -2.1018 1.0586
Al 0.0000 0.0000 0.0000

=====

From most stable to least stable, the computed energies give b, a.

=====

a.
4
Lattice="3.6239 0.0000 0.0000 0.0000 3.8361 0.0000 0.0000 0.0000 3.8361" Properties=species:S:1:pos:R:3 comment="Mn2AlGa, relaxed, DFT PBE" total_magnetization_mub_per_cell=4.95 dos_ef_per_ev_fu=2.43 pbc="T T T"
Mn 0.0000 0.0000 1.9181
Mn 0.0000 1.9181 0.0000
Al 1.8120 1.9181 1.9181
Ga 1.8120 0.0000 0.0000

=====

b.
4
Lattice="3.0055 0.0000 0.0000 0.0000 3.0055 0.0000 0.0000 0.0000 5.6660" Properties=species:S:1:pos:R:3 comment="Mn2AlGa, relaxed, DFT PBE" total_magnetization_mub_per_cell=3.69 dos_ef_per_ev_fu=2.62 pbc="T T T"
Mn 0.0000 0.0000 4.2235
Mn 0.0000 0.0000 1.4425
Al 1.5027 1.5027 0.0000
Ga 1.5027 1.5027 2.8330

=====

From most stable to least stable, the computed energies give a, b.

=====

a.
10
Lattice="6.6716 0.0000 0.0000 0.0000 6.6716 0.0000 0.0000 0.0000 3.4411" Properties=species:S:1:pos:R:3 comment="Al2GaMo2, relaxed, DFT PBE" total_magnetization_mub_per_cell=0.00 dos_ef_per_ev_fu=3.75 pbc="T T T"
Mo 1.1444 4.4802 1.7205
Mo 4.4802 5.5272 1.7205
Mo 5.5272 2.1914 1.7205
Mo 2.1914 1.1444 1.7205
Al 2.4707 5.8065 0.0000
Al 5.8065 4.2009 0.0000
Al 4.2009 0.8651 0.0000
Al 0.8651 2.4707 0.0000
Ga 0.0000 0.0000 0.0000
Ga 3.3358 3.3358 0.0000

=====

b.
10
Lattice="-5.1785 -2.5172 -3.3566 1.8771 -6.1586 1.7227 -2.0916 0.2192 3.0625" Properties=species:S:1:pos:R:3 comment="Al2GaMo2, relaxed, DFT PBE" total_magnetization_mub_per_cell=0.00 dos_ef_per_ev_fu=4.49 pbc="T T T"
Mo -0.2411 -6.1793 0.2775
Mo -3.2332 -6.1161 -1.7705
Mo -3.0603 -2.4965 -1.9114
Mo -0.0682 -2.5597 0.1366
Al -0.6201 -4.3176 2.1388
Al -2.8541 -6.7420 0.7866
Al -4.7729 -4.1392 -0.7101
Al -2.5389 -1.7147 0.6421
Ga 0.0000 0.0000 0.0000
Ga -1.6507 -4.3379 -0.8169

=====

From most stable to least stable, the computed energies give b, a.